Record 1
Computed, not measured: Na3NiSe after structural relaxation at the PBE-GGA level of DFT.

E ... -2.633 eV per atom
Relative energy among the computed polymorphs ... 0.0 kJ/mol of formula units

Cell lengths 5.480, 5.480, 5.480 Å; angles 90.00, 90.00, 90.00 degrees
Space group Pm-3m (No. 221)
One atom of each set of equivalent atoms:
Na: 0.000 0.000 0.500 x3
Ni: 0.500 0.500 0.500 x1
Se: 0.000 0.000 0.000 x1

***

Record 2
Computed, not measured: Na2Ni2Se3 after structural relaxation at the PBE-GGA level of DFT.

E ... -4.080 eV per atom

Cell lengths 16.078, 3.905, 11.367 Å; angles 90.00, 126.22, 90.00 degrees
Space group C2/m (No. 12)
One atom of each set of equivalent atoms:
Na: 0.107 0.000 0.464 x4
Na: 0.228 0.000 0.837 x4
Ni: 0.024 0.500 0.820 x4
Ni: 0.076 0.000 0.147 x4
Se: 0.067 0.500 0.655 x4
Se: 0.101 0.000 0.961 x4
Se: 0.157 0.500 0.289 x4

***

Record 3
Computed, not measured: NaNiSe2 after structural relaxation at the PBE-GGA level of DFT.

E ... -4.018 eV per atom

Cell lengths 3.6600, 3.6600, 20.6541 Å; angles 90.00, 90.00, 120.00 degrees
Space group R3m (No. 160, hexagonal axes)
One atom of each set of equivalent atoms:
Na: 0.0000 0.0000 0.0000 x3
Ni: 0.0000 0.0000 0.8341 x3
Se: 0.0000 0.0000 0.2284 x3
Se: 0.0000 0.0000 0.4396 x3

***

Record 4
Computed, not measured: Na2Ni3Se4 after structural relaxation at the PBE-GGA level of DFT.

E ... -4.291 eV per atom

Cell lengths 5.671, 10.805, 12.182 Å; angles 90.00, 90.00, 90.00 degrees
Space group Fmmm (No. 69)
One atom of each set of equivalent atoms:
Na: 0.000 0.000 0.140 x8
Ni: 0.000 0.000 0.500 x4
Ni: 0.250 0.250 0.000 x8
Se: 0.000 0.158 0.371 x16

***

Record 5
Computed, not measured: NaNi2Se2 after structural relaxation at the PBE-GGA level of DFT.

E ... -4.422 eV per atom

Cell lengths 3.860, 3.860, 12.371 Å; angles 90.00, 90.00, 90.00 degrees
Space group I4/mmm (No. 139)
One atom of each set of equivalent atoms:
Na: 0.000 0.000 0.000 x2
Ni: 0.000 0.500 0.250 x4
Se: 0.000 0.000 0.362 x4

***

Record 6
Computed, not measured: Na2NiSe2 after structural relaxation at the PBE-GGA level of DFT.

E ... -3.621 eV per atom

Cell lengths 6.631, 6.631, 4.599 Å; angles 90.00, 90.00, 90.00 degrees
Space group P4/mbm (No. 127)
One atom of each set of equivalent atoms:
Na: 0.156 0.344 0.000 x4
Ni: 0.000 0.000 0.500 x2
Se: 0.168 0.668 0.500 x4

***

Record 7
Computed, not measured: Na2NiSe2 after structural relaxation at the PBE-GGA level of DFT.

E ... -3.800 eV per atom

Cell lengths 3.532, 6.904, 8.835 Å; angles 90.00, 90.00, 90.00 degrees
Space group Immm (No. 71)
One atom of each set of equivalent atoms:
Na: 0.000 0.000 0.203 x4
Ni: 0.000 0.500 0.000 x2
Se: 0.000 0.227 0.500 x4

***

Record 8
Computed, not measured: NaNiSe2 after structural relaxation at the PBE-GGA level of DFT.

E ... -3.561 eV per atom

Cell lengths 6.604, 6.604, 6.604 Å; angles 90.00, 90.00, 90.00 degrees
Space group Fm-3m (No. 225)
One atom of each set of equivalent atoms:
Na: 0.000 0.000 0.000 x4
Ni: 0.000 0.000 0.500 x4
Se: 0.250 0.250 0.250 x8

***

Record 9
Computed, not measured: NaNi2Se2 after structural relaxation at the PBE-GGA level of DFT.

E ... -4.255 eV per atom

Cell lengths 4.590, 4.590, 8.568 Å; angles 90.00, 90.00, 90.00 degrees
Space group I4/mmm (No. 139)
One atom of each set of equivalent atoms:
Na: 0.000 0.000 0.000 x2
Ni: 0.000 0.000 0.341 x4
Se: 0.000 0.500 0.250 x4

***

Record 10
Computed, not measured: NaNi3Se3 after structural relaxation at the PBE-GGA level of DFT.

E ... -4.601 eV per atom
Relative energy among the computed polymorphs ... 0.0 kJ/mol of formula units

Cell lengths 8.3032, 8.3032, 4.3572 Å; angles 90.00, 90.00, 120.00 degrees
Space group P6_3/m (No. 176)
One atom of each set of equivalent atoms:
Na: 0.3333 0.6667 0.2500 x2
Ni: 0.0530 0.8333 0.2500 x6
Se: 0.0847 0.7265 0.7500 x6

***

Record 11
Computed, not measured: Na2Ni3Se6 after structural relaxation at the PBE-GGA level of DFT.

E ... -4.159 eV per atom

Cell lengths 6.232, 10.813, 7.305 Å; angles 90.00, 106.91, 90.00 degrees
Space group C2/m (No. 12)
One atom of each set of equivalent atoms:
Na: 0.000 0.166 0.000 x4
Ni: 0.000 0.000 0.500 x2
Ni: 0.000 0.333 0.500 x4
Se: 0.226 0.169 0.681 x8
Se: 0.231 0.500 0.679 x4

***

Record 12
Computed, not measured: NaNi6Se8 after structural relaxation at the PBE-GGA level of DFT.

E ... -4.602 eV per atom

Cell lengths 9.3321, 9.3321, 11.3401 Å; angles 90.00, 90.00, 120.00 degrees
Space group R-3 (No. 148, hexagonal axes)
One atom of each set of equivalent atoms:
Na: 0.0000 0.0000 0.0000 x3
Ni: 0.0256 0.1987 0.3864 x18
Se: 0.0000 0.0000 0.2498 x6
Se: 0.0251 0.4023 0.2470 x18

***

Record 13
Computed, not measured: NaNi2Se2 after structural relaxation at the PBE-GGA level of DFT.

E ... -4.386 eV per atom

Cell lengths 7.302, 9.917, 6.114 Å; angles 90.00, 118.80, 90.00 degrees
Space group C2/c (No. 15)
One atom of each set of equivalent atoms:
Na: 0.000 0.131 0.250 x4
Ni: 0.144 0.364 0.985 x8
Se: 0.000 0.167 0.750 x4
Se: 0.000 0.439 0.250 x4

***

| no. | raw formation energy (eV/atom) | calculated volume (Å³/cell) |
| --- | --- | --- |
| 1 | 0.0118 | 164.5 |
| 2 | -0.5579 | 575.7 |
| 3 | -0.5003 | 239.6 |
| 4 | -0.5219 | 746.5 |
| 5 | -0.4522 | 184.3 |
| 6 | -0.5431 | 202.2 |
| 7 | -0.7223 | 215.4 |
| 8 | -0.0440 | 288.0 |
| 9 | -0.2849 | 180.5 |
| 10 | -0.4410 | 260.2 |
| 11 | -0.4418 | 471.0 |
| 12 | -0.3435 | 855.3 |
| 13 | -0.4163 | 388.0 |